[1]
The following is a PBE calculation of crystalline Ag2PdBr5 at its relaxed geometry, from Alexandria.

The total moment is 0.00 μB per formula unit. The value obtained for the energy relative to the elements, uncorrected is -0.29 eV/atom. For the total energy, the calculation gives -2.6991 eV per atom.

Cell lengths 5.4840, 7.2992, 12.8875 Å; angles 90.00, 90.00, 112.07 degrees
Fractional coordinates of all 16 atoms:
Ag: 0.8624 0.7247 0.4143
Ag: 0.8624 0.7247 0.0857
Ag: 0.1376 0.2753 0.5857
Ag: 0.1376 0.2753 0.9143
Pd: 0.7952 0.5905 0.7500
Pd: 0.2047 0.4095 0.2500
Br: 0.9288 0.8576 0.8852
Br: 0.9288 0.8576 0.6148
Br: 0.3337 0.6674 0.3905
Br: 0.3337 0.6674 0.1095
Br: 0.7193 0.4387 0.2500
Br: 0.2807 0.5613 0.7500
Br: 0.6663 0.3326 0.6095
Br: 0.6663 0.3326 0.8905
Br: 0.0712 0.1424 0.1148
Br: 0.0712 0.1424 0.3852

=====

[2]
The following is a PBE calculation of crystalline Rb2GaSnTe4 at its relaxed geometry, from Alexandria.

The total moment is 0.00 μB per formula unit. The value obtained for the energy relative to the elements, uncorrected is -0.57 eV/atom. For the total energy, the calculation gives -3.2606 eV per atom.

Cell lengths 6.9278, 8.4662, 13.4110 Å; angles 83.93, 75.03, 65.85 degrees
Fractional coordinates of all 16 atoms:
Rb: 0.1848 0.0000 0.6304
Rb: 0.8152 0.0000 0.3696
Rb: 0.5652 0.5000 0.8696
Rb: 0.9348 0.5000 0.1304
Ga: 0.2500 0.5000 0.5000
Ga: 0.5000 0.0000 0.0000
Sn: 0.7500 0.5000 0.5000
Sn: 0.0000 0.0000 0.0000
Te: 0.3130 0.7967 0.1193
Te: 0.2290 0.2033 0.8807
Te: 0.8903 0.7967 0.8807
Te: 0.5677 0.2033 0.1193
Te: 0.4370 0.7033 0.3807
Te: 0.5210 0.2967 0.6193
Te: 0.8597 0.7033 0.6193
Te: 0.1823 0.2967 0.3807

=====

[3]
The following is a PBE calculation of crystalline CeTmIn at its relaxed geometry, from Alexandria.

The total moment is 1.52 μB per formula unit. The value obtained for the energy above the most stable polymorph in this dataset is 0.217 eV per atom. The calculation puts the formation energy at -5 kJ per mole of atoms. For the total energy, the calculation gives -4.4347 eV per atom.

Cell lengths 3.1743, 5.3699, 5.3699 Å; angles 120.00, 90.00, 90.00 degrees
Fractional coordinates of all 3 atoms:
Tm: 0.1680 0.0000 0.0000
Ce: 0.1659 0.3333 0.6667
In: 0.6661 0.6667 0.3333